Here is a geometry-optimized Rb3Y2USe6 structure from Alexandria via LeMat-Bulk. Energies are from PBE-GGA.

Its symmetry is C2/m, No. 12. As for the volume: 379.2 Å³/cell. The energy relative to the elements, uncorrected is -1.551 eV per atom. As for the calculated total energy: -66.638 eV/cell.

Unit cell a=7.3903 b=7.3903 c=8.3871 alpha=98.44 beta=98.44 gamma=120.00
Last column: nearest neighbours and their distance in Å.
Element x y z (fractional)
1 Rb 0.8332 0.1668 0.5000  6 Se 3.44-3.47
2 Rb 0.5000 0.5000 0.5000  6 Se 3.44-3.47
3 Rb 0.1668 0.8332 0.5000  6 Se 3.44-3.47
4 U 0.0000 0.0000 0.0000  6 Se 2.95
5 Y 0.6666 0.3334 0.0000  6 Se 2.92
6 Y 0.3334 0.6666 0.0000  6 Se 2.92
7 Se 0.7295 0.7295 0.1972  2 Y 2.92, 1 U 2.95
8 Se 0.5980 0.9343 0.8029  2 Y 2.92, 1 U 2.95
9 Se 0.9343 0.5980 0.8029  2 Y 2.92, 1 U 2.95
10 Se 0.2705 0.2705 0.8028  2 Y 2.92, 1 U 2.95
11 Se 0.4020 0.0657 0.1971  2 Y 2.92, 1 U 2.95
12 Se 0.0657 0.4020 0.1971  2 Y 2.92, 1 U 2.95

Here is a geometry-optimized Pr12Hg5Rh2 structure from Alexandria via LeMat-Bulk. Energies are from PBE-GGA.

The formation energy is -5.29 eV per formula unit. Its symmetry is C2/m, No. 12. As for the volume: 605.7 Å³/cell. As for the calculated total energy: -78.853 eV/cell.

Unit cell a=8.1030 b=9.3454 c=9.3487 alpha=106.44 beta=90.00 gamma=115.69
Last column: nearest neighbours and their distance in Å.
Element x y z (fractional)
1 Hg 0.0000 0.0000 0.5000  6 Pr 3.07-3.13
2 Hg 0.7687 0.5374 0.4774  6 Pr 3.13-3.38
3 Hg 0.2313 0.4626 0.5226  6 Pr 3.13-3.38
4 Hg 0.7158 0.4316 0.9237  6 Pr 3.11-3.42
5 Hg 0.2842 0.5684 0.0763  6 Pr 3.11-3.42
6 Pr 0.5213 0.0425 0.8221  2 Rh 2.92, 1 Hg 3.11
7 Pr 0.4275 0.3431 0.1811  1 Rh 2.87, 1 Hg 3.17
8 Pr 0.1772 0.7537 0.4385  3 Hg 3.13-3.23, 1 Pr 3.23
9 Pr 0.0820 0.1640 0.8429  2 Rh 2.90, 1 Hg 3.07
10 Pr 0.9180 0.8360 0.1571  2 Rh 2.90, 1 Hg 3.07
11 Pr 0.4236 0.2463 0.5615  3 Hg 3.13-3.23, 1 Pr 3.23
12 Pr 0.5725 0.6569 0.8189  1 Rh 2.87, 1 Hg 3.17
13 Pr 0.9156 0.3431 0.1811  1 Rh 2.87, 1 Hg 3.17
14 Pr 0.8228 0.2463 0.5615  3 Hg 3.13-3.23, 1 Pr 3.23
15 Pr 0.5764 0.7537 0.4385  3 Hg 3.13-3.23, 1 Pr 3.23
16 Pr 0.4787 0.9575 0.1779  2 Rh 2.92, 1 Hg 3.11
17 Pr 0.0844 0.6569 0.8189  1 Rh 2.87, 1 Hg 3.17
18 Rh 0.7834 0.0000 0.0000  6 Pr 2.87-2.92
19 Rh 0.2166 0.0000 0.0000  6 Pr 2.87-2.92

Here is a geometry-optimized LaPu2PaSe4 structure from Alexandria via LeMat-Bulk. Energies are from PBE-GGA.

Its symmetry is P2/m, No. 10. As for the volume: 203.4 Å³/cell. The energy relative to the elements, uncorrected is -1.542 eV per atom. As for the calculated total energy: -69.365 eV/cell.

Unit cell a=4.1207 b=7.2088 c=7.2431 alpha=109.00 beta=90.00 gamma=90.00
Last column: nearest neighbours and their distance in Å.
Element x y z (fractional)
1 Pa 0.5000 0.5000 0.0000  6 Se 2.93-2.94
2 La 0.0000 0.0000 0.0000  6 Se 3.00
3 Se 0.5000 0.7399 0.7416  3 Pu 2.89-2.95, 1 Pa 2.93, 2 La 3.00
4 Se 0.0000 0.2553 0.7457  3 Pu 2.89-2.94, 2 Pa 2.94, 1 La 3.00
5 Se 0.5000 0.2601 0.2584  3 Pu 2.89-2.95, 1 Pa 2.93, 2 La 3.00
6 Se 0.0000 0.7447 0.2543  3 Pu 2.89-2.94, 2 Pa 2.94, 1 La 3.00
7 Pu 0.0000 0.5000 0.5000  6 Se 2.89
8 Pu 0.5000 0.0000 0.5000  6 Se 2.94-2.95

Here is a geometry-optimized BaTe2Au structure from Alexandria via LeMat-Bulk. Energies are from PBE-GGA.

For the energy above the most stable polymorph in this dataset, the calculation gives 0.2689 eV per atom. Its symmetry is C2/m, No. 12. As for the volume: 122.8 Å³/cell. The energy relative to the elements, uncorrected is -0.580 eV per atom. As for the calculated total energy: -13.804 eV/cell.

Unit cell a=8.2797 b=5.2135 c=4.5509 alpha=89.94 beta=56.75 gamma=123.69
Last column: nearest neighbours and their distance in Å.
Element x y z (fractional)
1 Ba 0.5000 0.5000 0.0000  8 Te 3.46, 2 Au 3.46
2 Te 0.5000 0.0000 0.5000  4 Au 3.46, 4 Ba 3.46, 2 Te 3.46
3 Te 0.0000 0.0000 0.0000  4 Ba 3.46, 4 Au 3.46, 2 Te 3.46
4 Au 0.0000 0.5000 0.5000  8 Te 3.46, 2 Ba 3.46